Entry from the Alexandria database: a relaxed structure of Sr2Zr2Os (PBE).

The calculated volume comes out at 273 Å³ per cell. As for the formation energy from the elements: 6.55 eV per formula unit. As for the energy above the most stable polymorph in this dataset: 169.4 kJ/mol of formula units. As for the magnetization: 0.0 Bohr magnetons per cell.

Cell lengths 7.1587, 7.1587, 5.3266 Å; angles 90.00, 90.00, 90.00 degrees
With the nearest neighbours (Å) after each atom.
Fractional coordinates of all 10 atoms:
Sr1 0.3544 0.8544 0.0000  2 Os 2.74, 1 Sr 2.95
Sr2 0.8544 0.6456 0.0000  2 Os 2.74, 1 Sr 2.95
Sr3 0.6456 0.1456 0.0000  2 Os 2.74, 1 Sr 2.95
Sr4 0.1456 0.3544 0.0000  2 Os 2.74, 1 Sr 2.95
Os1 0.0000 0.0000 0.0000  4 Sr 2.74
Os2 0.5000 0.5000 0.0000  4 Sr 2.74
Zr1 0.1697 0.6697 0.5000  6 Sr 3.25-3.50, 1 Zr 3.44
Zr2 0.6697 0.8303 0.5000  6 Sr 3.25-3.50, 1 Zr 3.44
Zr3 0.8303 0.3303 0.5000  6 Sr 3.25-3.50, 1 Zr 3.44
Zr4 0.3303 0.1697 0.5000  6 Sr 3.25-3.50, 1 Zr 3.44

=====

Entry from the Alexandria database: a relaxed structure of SrZr2Os (PBE).

The calculated volume comes out at 87 Å³ per cell. As for the formation energy from the elements: 2.24 eV per formula unit. As for the energy above the most stable polymorph in this dataset: 191.5 kJ/mol of formula units. As for the magnetization: 0.0 Bohr magnetons per cell.

Cell lengths 4.9491, 4.9491, 3.5400 Å; angles 90.00, 90.00, 90.03 degrees
With the nearest neighbours (Å) after each atom.
Fractional coordinates of all 4 atoms:
Os1 0.5000 0.0000 0.5000  8 Zr 3.04
Sr1 0.0000 0.5000 0.5000  8 Zr 3.04
Zr1 0.0000 0.0000 0.0000  4 Os 3.04, 4 Sr 3.04
Zr2 0.5000 0.5000 0.0000  4 Sr 3.04, 4 Os 3.04

=====

Entry from the Alexandria database: a relaxed structure of Sr2ZrOs (PBE).

The calculated volume comes out at 108 Å³ per cell. As for the formation energy from the elements: 3.86 eV per formula unit. As for the energy above the most stable polymorph in this dataset: 319.5 kJ/mol of formula units. As for the magnetization: 0.8 Bohr magnetons per cell.

Cell lengths 11.1778, 11.1778, 11.1778 Å; angles 17.33, 17.33, 17.33 degrees
With the nearest neighbours (Å) after each atom.
Fractional coordinates of all 4 atoms:
Os1 0.7500 0.7500 0.7500  6 Sr 3.01
Sr1 0.0139 0.0139 0.0139  3 Os 3.01
Sr2 0.4861 0.4861 0.4861  3 Os 3.01
Zr1 0.2500 0.2500 0.2500  6 Zr 3.37, 6 Sr 3.75

=====

Entry from the Alexandria database: a relaxed structure of Sr2ZrOs (PBE).

The calculated volume comes out at 103 Å³ per cell. As for the formation energy from the elements: 3.42 eV per formula unit. As for the energy above the most stable polymorph in this dataset: 277.3 kJ/mol of formula units. As for the magnetization: 0.0 Bohr magnetons per cell.

Cell lengths 5.2279, 3.4388, 6.1539 Å; angles 68.98, 90.00, 90.00 degrees
With the nearest neighbours (Å) after each atom.
Fractional coordinates of all 4 atoms:
Os1 0.5000 0.7500 0.7500  2 Zr 2.94, 4 Sr 3.13
Sr1 0.0000 0.9195 0.9809  2 Sr 2.93-3.09, 2 Os 3.13
Sr2 0.0000 0.5805 0.5191  2 Sr 2.93-3.09, 2 Os 3.13
Zr1 0.5000 0.2500 0.2500  2 Os 2.94

=====

Entry from the Alexandria database: a relaxed structure of SrZr2Os (PBE).

The calculated volume comes out at 88 Å³ per cell. As for the formation energy from the elements: 2.53 eV per formula unit. As for the energy above the most stable polymorph in this dataset: 219.0 kJ/mol of formula units. As for the magnetization: 0.0 Bohr magnetons per cell.

Cell lengths 5.7804, 5.7804, 5.7804 Å; angles 137.10, 137.10, 62.29 degrees
With the nearest neighbours (Å) after each atom.
Fractional coordinates of all 4 atoms:
Os1 0.5000 0.5000 0.0000  8 Zr 2.99-3.25, 4 Sr 3.25
Sr1 0.7500 0.2500 0.5000  8 Zr 2.99-3.25, 4 Os 3.25
Zr1 0.0000 0.0000 0.0000  4 Os 2.99, 4 Sr 3.25, 4 Zr 3.25
Zr2 0.2500 0.7500 0.5000  4 Sr 2.99, 4 Os 3.25, 4 Zr 3.25

=====

Entry from the Alexandria database: a relaxed structure of Sr2ZrOs (PBE).

The calculated volume comes out at 148 Å³ per cell. As for the formation energy from the elements: 0.68 eV per formula unit. As for the energy above the most stable polymorph in this dataset: 12.7 kJ/mol of formula units. As for the magnetization: 0.0 Bohr magnetons per cell.

Cell lengths 4.4216, 4.4216, 9.0873 Å; angles 75.93, 75.93, 59.95 degrees
With the nearest neighbours (Å) after each atom.
Fractional coordinates of all 4 atoms:
Os1 0.2086 0.2086 0.3755  3 Zr 2.55
Sr1 0.9660 0.9660 0.1007  3 Zr 3.49-3.50, 3 Os 3.50-3.51
Sr2 0.7835 0.7835 0.6490  3 Os 3.49-3.50, 3 Zr 3.50
Zr1 0.5419 0.5419 0.3748  3 Os 2.55

=====

Entry from the Alexandria database: a relaxed structure of Sr2Zr2Os (PBE).

The calculated volume comes out at 154 Å³ per cell. As for the formation energy from the elements: 4.79 eV per formula unit. As for the energy above the most stable polymorph in this dataset: 0.0 kJ/mol of formula units. As for the magnetization: 0.9 Bohr magnetons per cell.

Cell lengths 3.8330, 3.8330, 10.8530 Å; angles 79.83, 79.83, 90.00 degrees
With the nearest neighbours (Å) after each atom.
Fractional coordinates of all 5 atoms:
Sr1 0.4152 0.4152 0.1695  4 Os 3.24, 1 Sr 3.56
Sr2 0.5848 0.5848 0.8305  4 Os 3.24, 1 Sr 3.56
Os1 0.0000 0.0000 0.0000  8 Sr 3.24
Zr1 0.7500 0.2500 0.5000  4 Zr 2.71
Zr2 0.2500 0.7500 0.5000  4 Zr 2.71

=====

Entry from the Alexandria database: a relaxed structure of SrZr2Os (PBE).

The calculated volume comes out at 86 Å³ per cell. As for the formation energy from the elements: 1.50 eV per formula unit. As for the energy above the most stable polymorph in this dataset: 119.6 kJ/mol of formula units. As for the magnetization: 0.0 Bohr magnetons per cell.

Cell lengths 4.9501, 4.9501, 4.9501 Å; angles 60.00, 60.00, 60.00 degrees
With the nearest neighbours (Å) after each atom.
Fractional coordinates of all 4 atoms:
Sr1 0.0000 0.0000 0.0000  8 Zr 3.03
Os1 0.5000 0.5000 0.5000  8 Zr 3.03
Zr1 0.2500 0.2500 0.2500  4 Os 3.03, 4 Sr 3.03
Zr2 0.7500 0.7500 0.7500  4 Sr 3.03, 4 Os 3.03